DFT (PBE+U) results for crystalline VIn2MoF at its relaxed geometry.

Cell: 5.5556 5.5556 4.0951 Å, 90.00 90.00 90.00°
Fractional coordinates of all 5 atoms:
V 0.0000 0.0000 0.0000
In 0.0000 0.5000 0.5000
In 0.5000 0.0000 0.5000
Mo 0.5000 0.5000 0.5000
F 0.5000 0.5000 0.0000

- Symmetry: P4/mmm, No. 123
- Density of states at the Fermi level: 0.4909 states/eV/atom
- Spin magnetization: 3.3 μB per cell
- Uncorrected energy: -3.79 eV per atom